This record from Alexandria via LeMat-Bulk describes a relaxed SbAu2Se crystal. The functional is PBE.

Geometry as POSCAR:
```
SbAu2Se
1.0
-0.9360 4.6732 -0.8255
-4.2183 -2.2768 0.6471
0.2000 0.7144 3.8172
Au Sb Se
2 1 1
direct
0.5000 0.5000 0.0000
0.0000 0.0000 0.0000
0.5000 0.0000 0.5000
0.0000 0.5000 0.5000
```

As for the total moment: 0.0 μB per formula unit. The symmetry is Cmmm, No. 65. The value obtained for the uncorrected formation energy is 0.1871 eV/atom.